First-principles (PBE-GGA) data for a relaxed LaSm8Th4 crystal, as listed in Alexandria via LeMat-Bulk.

- Total DFT energy (no corrections): -65.03 eV for the cell shown
- Calculated density: 7643 kg/m3
- Calculated formation energy: 7.33 eV per formula unit

Structure (POSCAR):
```
LaSm8Th4
1.0
9.920 -0.001 -5.352
-6.403 9.276 -0.001
-2.456 -1.695 7.317
La Sm Th
1 8 4
Direct
0.000 0.500 0.500 La
0.524 0.762 0.286 Sm
0.476 0.238 0.714 Sm
0.469 0.235 0.222 Sm
0.012 0.247 0.778 Sm
0.531 0.765 0.778 Sm
0.012 0.765 0.778 Sm
0.988 0.235 0.222 Sm
0.988 0.753 0.222 Sm
0.000 0.000 0.000 Th
0.000 0.500 0.000 Th
0.500 0.500 0.000 Th
0.500 0.000 0.000 Th
```